# TlFeCo2N

An optimized crystal structure of TlFeCo2N (PBE, the Alexandria database).

## Properties
Uncorrected energy: -6.467 eV per atom
DOS at the Fermi energy: 4.55 states/eV per cell
Size of the total moment: 1.46 μB/f.u.
Symmetry: P4/mmm
Raw formation energy: 0.206 eV per atom
Crystal system: tetragonal

Cell: 3.921 3.921 3.795 Å, 90.00 90.00 90.00°
Positions (direct):
Tl  0.000  0.000  0.000
Fe  0.500  0.500  0.000
Co  0.000  0.500  0.500
Co  0.500  0.000  0.500
N  0.500  0.500  0.500